(1)
{"formula": "NaTl3Bi", "functional": "GGA-PBE", "state": "relaxed", "cell": [[-3.7804, -0.3925, 2.9998], [-2.4020, -7.2123, -3.9707], [4.3560, -4.1724, 4.9436]], "species": ["Na", "Tl", "Bi", "Bi", "Tl", "Na", "Tl", "Tl", "Tl", "Tl"], "frac_coords": [[0.2500, 0.7500, 0.5354], [0.2500, 0.4591, 0.2471], [0.7500, 0.2500, 0.0482], [0.2500, 0.7500, 0.9518], [0.2500, 0.0409, 0.2471], [0.7500, 0.2500, 0.4646], [0.7500, 0.9591, 0.7529], [0.7500, 0.7500, 0.2318], [0.2500, 0.2500, 0.7682], [0.7500, 0.5409, 0.7529]], "spacegroup": "Pmmn", "dft_energy_ev_per_atom": -2.524, "de_polymorph_mev_per_atom": 40, "density_g_cm3": 8.7, "formation_energy_ev_per_atom": -0.064}

(2)
{"formula": "Na2TlBi4", "functional": "GGA-PBE", "state": "relaxed", "cell": [[0.7418, -6.1533, -2.4597], [6.6364, 0.5942, -0.2616], [-3.3606, 0.8586, 6.3764]], "species": ["Bi", "Na", "Tl", "Na", "Bi", "Bi", "Bi"], "frac_coords": [[0.8207, 0.8207, 0.0996], [0.2936, 0.7507, 0.5730], [0.7930, 0.7930, 0.5685], [0.7507, 0.2936, 0.5730], [0.2687, 0.7704, 0.0621], [0.3030, 0.3030, 0.0616], [0.7704, 0.2687, 0.0621]], "spacegroup": "Cm", "dft_energy_ev_per_atom": -3.071, "density_g_cm3": 7.5, "formation_energy_ev_per_atom": -0.138}

(3)
{"formula": "Na2TlBi2", "functional": "GGA-PBE", "state": "relaxed", "cell": [[5.1455, 0.0000, 0.0000], [0.0000, 5.1455, 0.0000], [2.5728, 2.5728, 6.6925]], "species": ["Tl", "Bi", "Na", "Na", "Bi"], "frac_coords": [[0.0000, 0.0000, 0.0000], [0.6072, 0.6072, 0.7857], [0.7500, 0.2500, 0.5000], [0.2500, 0.7500, 0.5000], [0.3928, 0.3928, 0.2143]], "spacegroup": "I4/mmm", "dft_energy_ev_per_atom": -2.649, "de_polymorph_mev_per_atom": 98, "density_g_cm3": 6.3, "formation_energy_ev_per_atom": -0.096}

(4)
{"formula": "Na2Tl15Bi2", "functional": "GGA-PBE", "state": "relaxed", "cell": [[-8.6458, 1.7961, 1.0020], [-4.2898, -7.7670, -0.5003], [-2.1265, -2.2761, 8.3233]], "species": ["Tl", "Tl", "Tl", "Tl", "Bi", "Tl", "Na", "Tl", "Na", "Bi", "Tl", "Tl", "Tl", "Tl", "Tl", "Tl", "Tl", "Tl", "Tl"], "frac_coords": [[0.3048, 0.0000, 0.6952], [0.0000, 0.5000, 0.0000], [0.6952, 0.0000, 0.3048], [0.6113, 0.6113, 0.1545], [0.7196, 0.7196, 0.7196], [0.3887, 0.3887, 0.8455], [0.0981, 0.0981, 0.0981], [0.6952, 0.3048, 0.0000], [0.9019, 0.9019, 0.9019], [0.2804, 0.2804, 0.2804], [0.0000, 0.3048, 0.6952], [0.0000, 0.0000, 0.5000], [0.5000, 0.0000, 0.0000], [0.3048, 0.6952, 0.0000], [0.6113, 0.1545, 0.6113], [0.8455, 0.3887, 0.3887], [0.3887, 0.8455, 0.3887], [0.1545, 0.6113, 0.6113], [0.0000, 0.6952, 0.3048]], "spacegroup": "R-3m", "dft_energy_ev_per_atom": -2.368, "density_g_cm3": 9.3, "formation_energy_ev_per_atom": 0.047}

Please write out number 3 again, unchanged.
{"formula": "Na2TlBi2", "functional": "GGA-PBE", "state": "relaxed", "cell": [[5.1455, 0.0000, 0.0000], [0.0000, 5.1455, 0.0000], [2.5728, 2.5728, 6.6925]], "species": ["Tl", "Bi", "Na", "Na", "Bi"], "frac_coords": [[0.0000, 0.0000, 0.0000], [0.6072, 0.6072, 0.7857], [0.7500, 0.2500, 0.5000], [0.2500, 0.7500, 0.5000], [0.3928, 0.3928, 0.2143]], "spacegroup": "I4/mmm", "dft_energy_ev_per_atom": -2.649, "de_polymorph_mev_per_atom": 98, "density_g_cm3": 6.3, "formation_energy_ev_per_atom": -0.096}

Copy entry 4 word for word.
{"formula": "Na2Tl15Bi2", "functional": "GGA-PBE", "state": "relaxed", "cell": [[-8.6458, 1.7961, 1.0020], [-4.2898, -7.7670, -0.5003], [-2.1265, -2.2761, 8.3233]], "species": ["Tl", "Tl", "Tl", "Tl", "Bi", "Tl", "Na", "Tl", "Na", "Bi", "Tl", "Tl", "Tl", "Tl", "Tl", "Tl", "Tl", "Tl", "Tl"], "frac_coords": [[0.3048, 0.0000, 0.6952], [0.0000, 0.5000, 0.0000], [0.6952, 0.0000, 0.3048], [0.6113, 0.6113, 0.1545], [0.7196, 0.7196, 0.7196], [0.3887, 0.3887, 0.8455], [0.0981, 0.0981, 0.0981], [0.6952, 0.3048, 0.0000], [0.9019, 0.9019, 0.9019], [0.2804, 0.2804, 0.2804], [0.0000, 0.3048, 0.6952], [0.0000, 0.0000, 0.5000], [0.5000, 0.0000, 0.0000], [0.3048, 0.6952, 0.0000], [0.6113, 0.1545, 0.6113], [0.8455, 0.3887, 0.3887], [0.3887, 0.8455, 0.3887], [0.1545, 0.6113, 0.6113], [0.0000, 0.6952, 0.3048]], "spacegroup": "R-3m", "dft_energy_ev_per_atom": -2.368, "density_g_cm3": 9.3, "formation_energy_ev_per_atom": 0.047}